# BaSrBr2

A geometry-optimized BaSrBr2 structure (PBE, Alexandria).

Values from the calculation:
formation energy from raw total energies = -540 kJ/mol of formula units
uncorrected energy = -3.1371 eV/atom
symmetry = Immm, No. 71
E above lowest polymorph = 0.101 eV/atom
total magnetization = 0.0 μB/cell

POSCAR file:
```
BaSrBr2
1.0
6.682 -0.018 0.020
0.873 6.625 -0.020
-2.220 -5.084 3.724
Br Sr Ba
2 1 1
direct
0.522 0.522 0.000
0.978 0.978 0.000
0.750 0.250 0.500
0.250 0.750 0.500
```

# Sr3CaSi8

A geometry-optimized Sr3CaSi8 structure (PBE, Alexandria).

Values from the calculation:
formation energy from raw total energies = -413 kJ/mol of formula units
uncorrected energy = -4.5593 eV/atom
symmetry = R32, No. 155
total magnetization = 0.0 μB/cell

POSCAR file:
```
Sr3CaSi8
1.0
-3.655 -2.427 4.815
1.430 -6.056 -1.929
5.185 -0.062 3.943
Si Sr Ca
8 3 1
direct
0.949 0.452 0.301
0.051 0.699 0.548
0.793 0.793 0.793
0.699 0.548 0.051
0.452 0.301 0.949
0.548 0.051 0.699
0.207 0.207 0.207
0.301 0.949 0.452
0.250 0.750 0.000
0.750 0.000 0.250
0.000 0.250 0.750
0.500 0.500 0.500
```

# BaMgCd2Co

A geometry-optimized BaMgCd2Co structure (PBE, Alexandria).

Values from the calculation:
uncorrected energy = -2.5103 eV/atom
symmetry = P4/mmm, No. 123
total magnetization = 0.0 μB/cell

POSCAR file:
```
BaMgCd2Co
1.0
-0.837 2.819 -4.250
-0.730 -4.329 -2.728
-4.817 0.151 1.049
Ba Cd Co Mg
1 2 1 1
direct
0.500 0.500 0.500
0.000 0.500 0.000
0.500 0.000 0.000
0.000 0.000 0.000
0.000 0.000 0.500
```

# BaCaS2N

A geometry-optimized BaCaS2N structure (PBE, Alexandria).

Values from the calculation:
formation energy from raw total energies = -274 kJ/mol of formula units
uncorrected energy = -4.6691 eV/atom
symmetry = P4/mmm, No. 123
E above lowest polymorph = 0.000 eV/atom
total magnetization = 2.9 μB/cell

POSCAR file:
```
BaCaS2N
1.0
-3.246 -0.159 -4.266
-4.247 -0.420 3.248
-0.373 4.632 0.111
S Ba N Ca
2 1 1 1
direct
0.500 0.000 0.000
0.000 0.500 0.000
0.500 0.500 0.500
0.000 0.000 0.500
0.000 0.000 0.000
```

# Ba3Li4Pd4

A geometry-optimized Ba3Li4Pd4 structure (PBE, Alexandria).

Values from the calculation:
uncorrected energy = -3.4876 eV/atom
symmetry = Immm, No. 71
E above lowest polymorph = 0.000 eV/atom
total magnetization = 0.0 μB/cell

POSCAR file:
```
Ba3Li4Pd4
1.0
4.373 0.000 -1.088
-0.940 6.690 -3.778
-0.107 0.535 8.904
Li Ba Pd
4 3 4
direct
0.676 0.863 0.351
0.324 0.137 0.649
0.324 0.512 0.649
0.676 0.488 0.351
0.000 0.500 0.000
0.126 0.126 0.253
0.874 0.874 0.747
0.217 0.717 0.434
0.500 0.183 0.000
0.783 0.283 0.566
0.500 0.817 0.000
```

# Pr4YHo3S8

A geometry-optimized Pr4YHo3S8 structure (PBE, Alexandria).

Values from the calculation:
formation energy from raw total energies = -3098 kJ/mol of formula units
uncorrected energy = -6.5275 eV/atom
symmetry = R-3m, No. 166
total magnetization = 0.0 μB/cell

POSCAR file:
```
Pr4YHo3S8
1.0
7.909 0.000 0.000
0.000 8.101 0.130
-3.954 -3.950 5.595
S Ho Pr Y
8 3 4 1
direct
0.257 0.272 0.515
0.259 0.271 0.015
0.756 0.271 0.513
0.756 0.271 0.015
0.741 0.729 0.985
0.244 0.729 0.985
0.743 0.728 0.485
0.244 0.729 0.487
0.500 0.500 0.500
0.000 0.500 0.500
0.500 0.500 0.000
0.000 0.000 0.500
0.500 0.000 0.500
0.500 0.000 0.000
0.000 0.000 0.000
0.000 0.500 0.000
```

# CaNiSb4

A geometry-optimized CaNiSb4 structure (PBE, Alexandria).

Values from the calculation:
formation energy from raw total energies = 153 kJ/mol of formula units
uncorrected energy = -3.7817 eV/atom
symmetry = F-43m, No. 216
total magnetization = 0.6 μB/cell

POSCAR file:
```
CaNiSb4
1.0
5.957 -1.562 -0.575
1.699 -5.930 0.448
1.926 -3.053 -5.023
Sb Ca Ni
4 1 1
direct
0.374 0.374 0.374
0.374 0.374 0.878
0.374 0.878 0.374
0.878 0.374 0.374
0.750 0.750 0.750
0.000 0.000 0.000
```

# SrPa4O10

A geometry-optimized SrPa4O10 structure (PBE, Alexandria).

Values from the calculation:
formation energy from raw total energies = -5162 kJ/mol of formula units
uncorrected energy = -9.5162 eV/atom
symmetry = I4/mmm, No. 139
total magnetization = 1.8 μB/cell

POSCAR file:
```
SrPa4O10
1.0
3.822 0.000 -0.533
-0.074 3.822 -0.533
0.039 0.040 14.255
O Pa Sr
10 4 1
direct
0.940 0.440 0.881
0.654 0.154 0.308
0.060 0.560 0.119
0.440 0.940 0.881
0.346 0.846 0.692
0.846 0.346 0.692
0.154 0.654 0.308
0.560 0.060 0.119
0.750 0.250 0.500
0.250 0.750 0.500
0.200 0.200 0.401
0.800 0.800 0.599
0.599 0.599 0.198
0.401 0.401 0.802
0.000 0.000 0.000
```

# Tb5Nd4Sm

A geometry-optimized Tb5Nd4Sm structure (PBE, Alexandria).

Values from the calculation:
uncorrected energy = -4.4567 eV/atom
symmetry = I4mm, No. 107
E above lowest polymorph = 0.053 eV/atom
total magnetization = 0.0 μB/cell

POSCAR file:
```
Tb5Nd4Sm
1.0
6.067 0.000 0.000
3.034 7.537 0.000
3.034 0.000 7.537
Sm Nd Tb
1 4 5
direct
0.210 0.000 0.000
0.462 0.675 0.325
0.462 0.325 0.675
0.787 0.675 0.675
0.137 0.325 0.325
0.754 0.378 0.000
0.132 0.622 0.000
0.754 0.000 0.378
0.681 0.000 0.000
0.132 0.000 0.622
```

# Na2LiMg

A geometry-optimized Na2LiMg structure (PBE, Alexandria).

Values from the calculation:
uncorrected energy = -1.3919 eV/atom
symmetry = R-3m, No. 166
total magnetization = 0.0 μB/cell

POSCAR file:
```
Na2LiMg
1.0
3.300 0.000 0.000
1.650 2.858 0.000
1.650 0.953 11.997
Na Li Mg
2 1 1
direct
0.910 0.910 0.269
0.090 0.090 0.731
0.500 0.500 0.500
0.000 0.000 0.000
```

# BaNaTlBi

A geometry-optimized BaNaTlBi structure (PBE, Alexandria).

Values from the calculation:
uncorrected energy = -2.8053 eV/atom
symmetry = F-43m, No. 216
total magnetization = 0.0 μB/cell

POSCAR file:
```
BaNaTlBi
1.0
5.855 0.000 0.000
2.928 5.071 0.000
2.928 1.690 4.781
Ba Bi Tl Na
1 1 1 1
direct
0.500 0.500 0.500
0.750 0.750 0.750
0.250 0.250 0.250
0.000 0.000 0.000
```

# LiBr3

A geometry-optimized LiBr3 structure (PBE, Alexandria).

Values from the calculation:
formation energy from raw total energies = -135 kJ/mol of formula units
uncorrected energy = -2.0827 eV/atom
symmetry = P4/mmm, No. 123
E above lowest polymorph = 0.381 eV/atom
total magnetization = 0.1 μB/cell

POSCAR file:
```
LiBr3
1.0
3.719 0.000 0.000
0.000 3.719 0.000
0.000 0.000 7.429
Br Li
3 1
direct
0.000 0.000 0.930
0.000 0.000 0.570
0.500 0.500 0.250
0.500 0.500 0.750
```

# Ho2PdSe

A geometry-optimized Ho2PdSe structure (PBE, Alexandria).

Values from the calculation:
formation energy from raw total energies = -510 kJ/mol of formula units
uncorrected energy = -5.7797 eV/atom
symmetry = Cmcm, No. 63
E above lowest polymorph = 0.000 eV/atom
total magnetization = 0.0 μB/cell

POSCAR file:
```
Ho2PdSe
1.0
4.272 0.000 0.000
0.000 3.784 -0.672
0.000 0.083 11.458
Ho Pd Se
4 2 2
direct
0.250 0.064 0.127
0.250 0.321 0.642
0.750 0.936 0.873
0.750 0.679 0.358
0.250 0.456 0.911
0.750 0.544 0.089
0.250 0.193 0.386
0.750 0.807 0.614
```

# Li2CrBAu

A geometry-optimized Li2CrBAu structure (PBE, Alexandria).

Values from the calculation:
uncorrected energy = -4.0548 eV/atom
symmetry = P4/mmm, No. 123
total magnetization = 4.8 μB/cell

POSCAR file:
```
Li2CrBAu
1.0
-4.688 -0.051 0.765
0.161 -4.034 0.718
0.744 0.851 4.614
Li B Cr Au
2 1 1 1
direct
0.000 0.000 0.500
0.500 0.000 0.000
0.000 0.500 0.000
0.500 0.500 0.500
0.000 0.000 0.000
```

# Pr6GaTe3

A geometry-optimized Pr6GaTe3 structure (PBE, Alexandria).

Values from the calculation:
formation energy from raw total energies = -860 kJ/mol of formula units
uncorrected energy = -5.0041 eV/atom
symmetry = P2_1/m, No. 11
total magnetization = 0.0 μB/cell

POSCAR file:
```
Pr6GaTe3
1.0
4.212 0.000 0.000
0.000 12.609 0.333
0.000 -3.898 12.526
Te Pr Ga
6 12 2
direct
0.250 0.590 0.147
0.750 0.410 0.853
0.250 0.854 0.934
0.750 0.146 0.066
0.250 0.325 0.499
0.750 0.675 0.501
0.750 0.924 0.120
0.750 0.108 0.459
0.250 0.502 0.355
0.750 0.804 0.748
0.250 0.892 0.541
0.750 0.498 0.645
0.250 0.076 0.880
0.750 0.752 0.289
0.250 0.196 0.252
0.250 0.248 0.711
0.250 0.604 0.909
0.750 0.396 0.091
0.750 0.044 0.690
0.250 0.956 0.310
```

# MgSnP2O7

A geometry-optimized MgSnP2O7 structure (PBE, Alexandria).

Values from the calculation:
formation energy from raw total energies = -2343 kJ/mol of formula units
uncorrected energy = -6.8555 eV/atom
symmetry = P2_1/c, No. 14
E above lowest polymorph = 0.000 eV/atom
total magnetization = 0.0 μB/cell

POSCAR file:
```
MgSnP2O7
1.0
-6.201 -0.429 -3.429
-2.483 -7.283 5.401
-0.834 5.762 7.386
O P Mg Sn
28 8 4 4
direct
0.646 0.678 0.464
0.507 0.404 0.335
0.354 0.178 0.036
0.082 0.679 0.133
0.142 0.916 0.277
0.516 0.641 0.100
0.507 0.096 0.835
0.273 0.681 0.414
0.484 0.141 0.400
0.727 0.319 0.586
0.905 0.726 0.319
0.646 0.822 0.964
0.493 0.904 0.165
0.273 0.819 0.914
0.095 0.274 0.681
0.905 0.774 0.819
0.727 0.181 0.086
0.082 0.821 0.633
0.484 0.359 0.900
0.142 0.584 0.777
0.516 0.859 0.600
0.095 0.226 0.181
0.918 0.321 0.867
0.354 0.322 0.536
0.918 0.179 0.367
0.493 0.596 0.665
0.858 0.416 0.223
0.858 0.084 0.723
0.903 0.257 0.222
0.097 0.757 0.278
0.487 0.795 0.043
0.903 0.243 0.722
0.513 0.295 0.457
0.513 0.205 0.957
0.097 0.743 0.778
0.487 0.705 0.543
0.308 0.054 0.203
0.692 0.946 0.797
0.308 0.446 0.703
0.692 0.554 0.297
0.794 0.607 0.947
0.206 0.107 0.553
0.794 0.893 0.447
0.206 0.393 0.053
```

# RbSrMg

A geometry-optimized RbSrMg structure (PBE, Alexandria).

Values from the calculation:
uncorrected energy = -1.2751 eV/atom
symmetry = P1, No. 1
total magnetization = 0.0 μB/cell

POSCAR file:
```
RbSrMg
1.0
4.259 0.003 -0.014
0.003 8.413 -0.023
-2.128 -2.208 8.677
Sr Rb Mg
2 2 2
direct
0.950 0.329 0.240
0.983 0.851 0.306
0.256 0.502 0.848
0.236 0.981 0.808
0.584 0.202 0.506
0.581 0.602 0.501
```

# LiCuHPt

A geometry-optimized LiCuHPt structure (PBE, Alexandria).

Values from the calculation:
uncorrected energy = -4.0972 eV/atom
symmetry = Amm2, No. 38
total magnetization = 0.0 μB/cell

POSCAR file:
```
LiCuHPt
1.0
2.737 0.000 0.000
0.000 4.069 0.000
0.000 -2.034 4.125
Pt H Cu Li
1 1 1 1
direct
0.500 0.556 0.113
0.000 0.697 0.395
0.000 0.929 0.858
0.500 0.248 0.496
```

# PmBe2IrO8

A geometry-optimized PmBe2IrO8 structure (PBE, Alexandria).

Values from the calculation:
formation energy from raw total energies = -1684 kJ/mol of formula units
uncorrected energy = -6.5153 eV/atom
symmetry = P-3m1, No. 164
total magnetization = 1.4 μB/cell

POSCAR file:
```
PmBe2IrO8
1.0
-2.141 -2.141 -4.139
4.805 1.779 -0.229
2.212 -5.741 1.825
Be O Pm Ir
2 8 1 1
direct
0.333 0.667 0.736
0.667 0.333 0.264
0.333 0.667 0.486
0.667 0.333 0.514
0.165 0.835 0.817
0.330 0.165 0.183
0.835 0.165 0.183
0.670 0.835 0.817
0.165 0.330 0.817
0.835 0.670 0.183
0.000 0.000 0.500
0.000 0.000 0.000
```

# Ba5Na2Ga2

A geometry-optimized Ba5Na2Ga2 structure (PBE, Alexandria).

Values from the calculation:
uncorrected energy = -2.1915 eV/atom
symmetry = Cmce, No. 64
total magnetization = 0.0 μB/cell

POSCAR file:
```
Ba5Na2Ga2
1.0
-8.442 -1.071 2.356
-1.636 -4.049 -7.703
-1.819 -9.834 5.556
Ba Ga Na
10 4 4
direct
0.710 0.323 0.228
0.790 0.823 0.772
0.290 0.677 0.772
0.438 0.177 0.772
0.562 0.823 0.228
0.938 0.323 0.772
0.062 0.677 0.228
0.000 0.000 0.000
0.210 0.177 0.228
0.500 0.500 0.000
0.608 0.108 0.000
0.892 0.608 0.000
0.392 0.892 0.000
0.108 0.392 0.000
0.726 0.500 0.547
0.274 0.500 0.453
0.226 0.000 0.547
0.774 0.000 0.453
```